First-principles (PBE with a Hubbard U) data for crystalline Tl3V2SnF9 at its relaxed geometry, as listed in the Alexandria database.

```
data_Tl3V2SnF9
_chemical_formula_sum 'Tl3 V2 Sn1 F9'
_space_group_name_H-M_alt 'P -3 m 1'
_space_group_IT_number 164
_space_group_name_Hall '-P 3 2"'
_cell_length_a 6.2025
_cell_length_b 6.2025
_cell_length_c 7.8069
_cell_angle_alpha 90.00
_cell_angle_beta 90.00
_cell_angle_gamma 120.00
loop_
_atom_site_label
_atom_site_type_symbol
_atom_site_fract_x
_atom_site_fract_y
_atom_site_fract_z
Tl1 Tl 0.0000 0.0000 0.0000
Tl2 Tl 0.3333 0.6667 0.6943
V1 V 0.3333 0.6667 0.1542
Sn1 Sn 0.0000 0.0000 0.5000
F1 F 0.0000 0.5000 0.0000
F2 F 0.1732 0.3464 0.3100
```

Results
E (eV/atom): -5.088